The following is a PBE calculation of a relaxed structure of Ca2CdRe, from Alexandria via LeMat-Bulk.

a b c (Å): 6.0016 6.0016 5.5851
angles (deg): 75.96 75.96 29.01
Fractional coordinates of all 4 atoms:
Re 0.2222 0.2222 0.2088
Ca 0.9665 0.9665 0.0724
Ca 0.7750 0.7750 0.6910
Cd 0.5364 0.5364 0.5278

## Properties
**Size of the total moment**: 0.00 μB/f.u.
**E_form**: 42 kJ/mol of atoms